# PBE SrTh4Sb5, relaxed
# Formation energy without anion corrections in eV per formula unit: -9.5
# Space-group type: Immm
data_SrTh4Sb5
_chemical_formula_sum 'Sr1 Th4 Sb5'
_cell_length_a 4.536
_cell_length_b 6.410
_cell_length_c 12.068
_cell_angle_alpha 105.40
_cell_angle_beta 100.83
_cell_angle_gamma 90.00
_symmetry_space_group_name_H-M 'P 1'
_symmetry_Int_Tables_number 1
_symmetry_space_group_name_Hall 'P 1'
loop_
_atom_site_label
_atom_site_type_symbol
_atom_site_fract_x
_atom_site_fract_y
_atom_site_fract_z
Sr1 Sr 0.000 0.000 0.000
Th1 Th 0.400 0.400 0.800
Th2 Th 0.797 0.797 0.595
Th3 Th 0.203 0.203 0.405
Th4 Th 0.600 0.600 0.200
Sb1 Sb 0.605 0.105 0.209
Sb2 Sb 0.801 0.301 0.603
Sb3 Sb 0.199 0.699 0.397
Sb4 Sb 0.000 0.500 0.000
Sb5 Sb 0.395 0.895 0.791

***

# PBE Tb6Bi3Te, relaxed
# Formation energy without anion corrections in eV per formula unit: -6.4
# Space-group type: Cmc2_1
data_Tb6Bi3Te
_chemical_formula_sum 'Tb12 Bi6 Te2'
_cell_length_a 7.559
_cell_length_b 9.510
_cell_length_c 9.510
_cell_angle_alpha 104.28
_cell_angle_beta 90.00
_cell_angle_gamma 90.00
_symmetry_space_group_name_H-M 'P 1'
_symmetry_Int_Tables_number 1
_symmetry_space_group_name_Hall 'P 1'
loop_
_atom_site_label
_atom_site_type_symbol
_atom_site_fract_x
_atom_site_fract_y
_atom_site_fract_z
Tb1 Tb 0.157 0.720 0.612
Tb2 Tb 0.657 0.612 0.720
Tb3 Tb 0.233 0.449 0.915
Tb4 Tb 0.733 0.915 0.449
Tb5 Tb 0.254 0.004 0.996
Tb6 Tb 0.633 0.248 0.752
Tb7 Tb 0.133 0.752 0.248
Tb8 Tb 0.754 0.996 0.004
Tb9 Tb 0.233 0.085 0.551
Tb10 Tb 0.733 0.551 0.085
Tb11 Tb 0.157 0.388 0.280
Tb12 Tb 0.657 0.280 0.388
Bi1 Bi 0.494 0.915 0.720
Bi2 Bi 0.994 0.720 0.915
Bi3 Bi 0.334 0.412 0.588
Bi4 Bi 0.834 0.588 0.412
Bi5 Bi 0.994 0.085 0.280
Bi6 Bi 0.494 0.280 0.085
Te1 Te 0.999 0.166 0.834
Te2 Te 0.499 0.834 0.166

***

# PBE LaMg2W, relaxed
# E_form in eV per atom: 0.5685
# Space-group type: Cmmm
data_LaMg2W
_chemical_formula_sum 'La1 Mg2 W1'
_cell_length_a 5.708
_cell_length_b 5.708
_cell_length_c 3.023
_cell_angle_alpha 90.00
_cell_angle_beta 90.00
_cell_angle_gamma 118.23
_symmetry_space_group_name_H-M 'P 1'
_symmetry_Int_Tables_number 1
_symmetry_space_group_name_Hall 'P 1'
loop_
_atom_site_label
_atom_site_type_symbol
_atom_site_fract_x
_atom_site_fract_y
_atom_site_fract_z
La1 La 0.000 0.500 0.500
Mg1 Mg 0.000 0.000 0.000
Mg2 Mg 0.500 0.500 0.000
W1 W 0.500 0.000 0.500

***

# PBE HfTe2Pb, relaxed
# Formation energy without anion corrections in eV per formula unit: -2.2
# Space-group type: P1
data_HfTe2Pb
_chemical_formula_sum 'Hf2 Te4 Pb2'
_cell_length_a 3.874
_cell_length_b 6.777
_cell_length_c 10.420
_cell_angle_alpha 81.92
_cell_angle_beta 78.80
_cell_angle_gamma 90.04
_symmetry_space_group_name_H-M 'P 1'
_symmetry_Int_Tables_number 1
_symmetry_space_group_name_Hall 'P 1'
loop_
_atom_site_label
_atom_site_type_symbol
_atom_site_fract_x
_atom_site_fract_y
_atom_site_fract_z
Hf1 Hf 0.037 0.171 0.302
Hf2 Hf 0.537 0.671 0.302
Te1 Te 0.630 0.378 0.124
Te2 Te 0.944 0.465 0.481
Te3 Te 0.444 0.964 0.480
Te4 Te 0.130 0.877 0.123
Pb1 Pb 0.289 0.870 0.802
Pb2 Pb 0.788 0.470 0.802

***

# PBE PmSm3Sn2, relaxed
# E_form in eV per atom: -0.2422
# Space-group type: R-3c
data_PmSm3Sn2
_chemical_formula_sum 'Pm2 Sm6 Sn4'
_cell_length_a 8.689
_cell_length_b 8.689
_cell_length_c 8.689
_cell_angle_alpha 54.31
_cell_angle_beta 54.31
_cell_angle_gamma 54.31
_symmetry_space_group_name_H-M 'P 1'
_symmetry_Int_Tables_number 1
_symmetry_space_group_name_Hall 'P 1'
loop_
_atom_site_label
_atom_site_type_symbol
_atom_site_fract_x
_atom_site_fract_y
_atom_site_fract_z
Pm1 Pm 0.500 0.500 0.500
Pm2 Pm 0.000 0.000 0.000
Sm1 Sm 0.477 0.023 0.750
Sm2 Sm 0.023 0.750 0.477
Sm3 Sm 0.750 0.477 0.023
Sm4 Sm 0.523 0.977 0.250
Sm5 Sm 0.977 0.250 0.523
Sm6 Sm 0.250 0.523 0.977
Sn1 Sn 0.355 0.355 0.355
Sn2 Sn 0.145 0.145 0.145
Sn3 Sn 0.855 0.855 0.855
Sn4 Sn 0.645 0.645 0.645

***

# PBE Y2ZnCd3, relaxed
# E_form in eV per atom: -0.3330
# Space-group type: Pmm2
data_Y2ZnCd3
_chemical_formula_sum 'Y2 Zn1 Cd3'
_cell_length_a 3.491
_cell_length_b 4.853
_cell_length_c 8.381
_cell_angle_alpha 90.00
_cell_angle_beta 90.00
_cell_angle_gamma 90.00
_symmetry_space_group_name_H-M 'P 1'
_symmetry_Int_Tables_number 1
_symmetry_space_group_name_Hall 'P 1'
loop_
_atom_site_label
_atom_site_type_symbol
_atom_site_fract_x
_atom_site_fract_y
_atom_site_fract_z
Y1 Y 0.000 0.500 0.009
Y2 Y 0.000 0.000 0.493
Zn1 Zn 0.500 0.500 0.332
Cd1 Cd 0.500 0.000 0.833
Cd2 Cd 0.500 0.000 0.174
Cd3 Cd 0.500 0.500 0.659